! Ta3Mn, relaxed, DFT PBE-GGA; values from VASP
&SYSTEM
  ibrav = 0, nat = 16, ntyp = 2
/
ATOMIC_SPECIES
Ta 180.95 Ta.upf
Mn 54.94 Mn.upf
ATOMIC_POSITIONS crystal
Ta 0.7890 0.5495 0.6215
Ta 0.4546 0.7500 0.3405
Ta 0.7890 0.9505 0.6215
Ta 0.5454 0.2500 0.6595
Ta 0.2110 0.4505 0.3785
Ta 0.2890 0.5495 0.8785
Ta 0.2890 0.9505 0.8785
Ta 0.7110 0.4505 0.1215
Ta 0.2110 0.0495 0.3785
Ta 0.9546 0.7500 0.1595
Ta 0.7110 0.0495 0.1215
Ta 0.0454 0.2500 0.8405
Mn 0.1026 0.7500 0.6311
Mn 0.6026 0.7500 0.8689
Mn 0.8974 0.2500 0.3689
Mn 0.3974 0.2500 0.1311
CELL_PARAMETERS angstrom
-4.9944 -0.6080 -2.6971
-3.7307 -2.3767 7.4441
-1.2047 5.2037 1.0577
! Space-group type: Pnma (62)
! Formation energy from the elements: 0.210 eV/f.u.